A relaxed Re2MoSe5 crystal. Source: the Alexandria database, functional PBE.

Values from the calculation:
E_form (uncorrected)   -0.05 eV/atom
SG   P1, No. 1

a b c (Å): 5.4805 6.0719 6.1212
angles (deg): 65.77 78.42 69.16
Closest atoms and distances in Å follow each position.
Fractional positions:
Re 0.0000 0.0000 0.0000  5 Se 2.44-2.56
Re 0.2671 0.1991 0.1842  5 Se 2.41-2.63
Mo 0.7327 0.2444 0.3336  5 Se 2.48-2.71
Se 0.1158 0.9659 0.5929  2 Re 2.46-2.52, 1 Mo 2.53
Se 0.3041 0.5794 0.1923  2 Re 2.41-2.44, 1 Mo 2.52
Se 0.5694 0.1668 0.7993  2 Re 2.56-2.63, 1 Mo 2.71
Se 0.6880 0.8504 0.3360  2 Re 2.48-2.54, 1 Mo 2.48
Se 0.9068 0.4553 0.9141  2 Re 2.46-2.47, 1 Mo 2.52

***

A relaxed Re9Mo3Se16 crystal. Source: the Alexandria database, functional PBE.

Values from the calculation:
E_form (uncorrected)   -0.42 eV/atom
SG   P1, No. 1

a b c (Å): 6.7491 6.7498 13.4980
angles (deg): 93.64 93.17 93.35
Closest atoms and distances in Å follow each position.
Fractional positions:
Re 0.0000 0.0000 0.0000  5 Se 2.53-2.66, 3 Re 2.65-2.68, 1 Mo 2.70
Re 0.0004 0.0029 0.5003  5 Se 2.53-2.67, 2 Re 2.65-2.66, 2 Mo 2.70
Re 0.1315 0.6896 0.0890  5 Se 2.53-2.70, 4 Re 2.65-2.69
Re 0.1333 0.6918 0.5886  5 Se 2.53-2.68, 3 Re 2.65-2.68, 1 Mo 2.70
Re 0.1710 0.9061 0.2629  5 Se 2.53-2.66, 3 Re 2.65-2.69, 1 Mo 2.66
Re 0.1734 0.9082 0.7631  5 Se 2.52-2.69, 2 Mo 2.65-2.66, 2 Re 2.68-2.69
Re 0.3487 0.0378 0.1072  5 Se 2.53-2.66, 3 Re 2.65-2.69, 1 Mo 2.65
Re 0.8215 0.8687 0.1561  5 Se 2.53-2.68, 3 Re 2.65-2.69, 1 Mo 2.70
Re 0.8235 0.8708 0.6561  5 Se 2.53-2.70, 3 Re 2.65-2.69, 1 Mo 2.70
Mo 0.0395 0.2183 0.1750  5 Se 2.56-2.69, 4 Re 2.65-2.70
Mo 0.0421 0.2203 0.6759  5 Se 2.56-2.69, 3 Re 2.65-2.70, 1 Mo 2.65
Mo 0.3515 0.0415 0.6075  5 Se 2.56-2.68, 1 Mo 2.65, 3 Re 2.66-2.70
Se 0.2152 0.3304 0.5140  2 Re 2.56-2.68, 2 Mo 2.58-2.66
Se 0.2160 0.3264 0.0140  3 Re 2.56-2.70, 1 Mo 2.66
Se 0.3141 0.8249 0.4427  3 Re 2.56-2.66, 1 Mo 2.57
Se 0.3169 0.8231 0.9440  4 Re 2.55-2.69
Se 0.3753 0.2340 0.2739  2 Re 2.53, 1 Mo 2.56
Se 0.3750 0.2368 0.7768  1 Re 2.52, 2 Mo 2.56
Se 0.4601 0.7183 0.6965  3 Re 2.56-2.70, 1 Mo 2.68
Se 0.4597 0.7202 0.1955  4 Re 2.56-2.68
Se 0.7090 0.1816 0.0676  3 Re 2.56-2.66, 1 Mo 2.58
Se 0.7140 0.1837 0.5692  2 Re 2.53-2.60, 2 Mo 2.56-2.67
Se 0.8007 0.6686 0.9900  3 Re 2.53
Se 0.8016 0.6712 0.4902  3 Re 2.53
Se 0.8554 0.0816 0.3203  3 Re 2.56-2.67, 1 Mo 2.57
Se 0.8562 0.0817 0.8208  3 Re 2.55-2.66, 1 Mo 2.58
Se 0.9563 0.5820 0.2475  3 Re 2.54-2.62, 1 Mo 2.69
Se 0.9589 0.5847 0.7472  3 Re 2.54-2.62, 1 Mo 2.69

***

A relaxed ReMoSe crystal. Source: the Alexandria database, functional PBE.

Values from the calculation:
E_form (uncorrected)   0.20 eV/atom
SG   I4mm, No. 107
Energy relative to the lowest polymorph listed for this composition   0 meV per atom

a b c (Å): 2.9959 2.9959 10.2363
angles (deg): 90.00 90.00 90.00
Closest atoms and distances in Å follow each position.
Fractional positions:
Re 0.0000 0.0000 0.0000  4 Se 2.70, 4 Mo 2.77, 4 Re 3.00
Re 0.5000 0.5000 0.5000  4 Se 2.70, 4 Mo 2.77, 4 Re 3.00
Mo 0.0000 0.0000 0.3257  4 Se 2.69, 4 Re 2.77, 4 Mo 3.00
Mo 0.5000 0.5000 0.8257  4 Se 2.69, 4 Re 2.77, 4 Mo 3.00
Se 0.0000 0.0000 0.6636  4 Mo 2.69, 4 Re 2.70, 4 Se 3.00
Se 0.5000 0.5000 0.1636  4 Mo 2.69, 4 Re 2.70, 4 Se 3.00

***

A relaxed Re2MoSe4 crystal. Source: the Alexandria database, functional PBE.

Values from the calculation:
E_form (uncorrected)   -0.47 eV/atom
SG   P1, No. 1

a b c (Å): 6.7603 6.7615 6.7620
angles (deg): 93.51 93.12 93.47
Closest atoms and distances in Å follow each position.
Fractional positions:
Re 0.0000 0.0000 0.0000  5 Se 2.53-2.69, 3 Re 2.65-2.68, 1 Mo 2.70
Re 0.0401 0.2145 0.3481  5 Se 2.53-2.67, 2 Mo 2.65-2.66, 2 Re 2.68
Re 0.6912 0.1782 0.1360  5 Se 2.53-2.71, 3 Re 2.65-2.68, 1 Mo 2.70
Re 0.8676 0.3110 0.8247  5 Se 2.53-2.67, 2 Re 2.65, 2 Mo 2.69-2.70
Mo 0.2179 0.3494 0.0378  5 Se 2.56-2.68, 1 Mo 2.65, 3 Re 2.66-2.70
Mo 0.9093 0.5271 0.1748  5 Se 2.55-2.69, 1 Mo 2.65, 3 Re 2.65-2.70
Se 0.0818 0.6383 0.8521  2 Re 2.56-2.69, 2 Mo 2.58-2.66
Se 0.1803 0.1345 0.7092  3 Re 2.55-2.67, 1 Mo 2.57
Se 0.2415 0.5431 0.3757  1 Re 2.53, 2 Mo 2.55-2.56
Se 0.3264 0.0260 0.2152  3 Re 2.55-2.71, 1 Mo 2.68
Se 0.5817 0.4906 0.9621  2 Re 2.53-2.61, 2 Mo 2.57-2.67
Se 0.6687 0.9799 0.8049  3 Re 2.53
Se 0.7250 0.3892 0.4644  3 Re 2.56-2.67, 1 Mo 2.57
Se 0.8258 0.8917 0.3167  3 Re 2.54-2.62, 1 Mo 2.69

***

A relaxed ReMoSe3 crystal. Source: the Alexandria database, functional PBE.

Values from the calculation:
E_form (uncorrected)   1.22 eV/atom
SG   Pm-3m, No. 221
Energy relative to the lowest polymorph listed for this composition   0 meV per atom

a b c (Å): 4.9348 4.9348 4.9348
angles (deg): 90.00 90.00 90.00
Closest atoms and distances in Å follow each position.
Fractional positions:
Re 0.0000 0.0000 0.0000  12 Se 3.49
Mo 0.5000 0.5000 0.5000  6 Se 2.47
Se 0.0000 0.5000 0.5000  2 Mo 2.47
Se 0.5000 0.0000 0.5000  2 Mo 2.47
Se 0.5000 0.5000 0.0000  2 Mo 2.47

***

A relaxed ReMo3Se crystal. Source: the Alexandria database, functional PBE.

Values from the calculation:
E_form (uncorrected)   1.45 eV/atom
SG   Pm-3m, No. 221
Energy relative to the lowest polymorph listed for this composition   0 meV per atom

a b c (Å): 4.5142 4.5142 4.5142
angles (deg): 90.00 90.00 90.00
Closest atoms and distances in Å follow each position.
Fractional positions:
Re 0.0000 0.0000 0.0000  12 Mo 3.19
Mo 0.0000 0.5000 0.5000  2 Se 2.26
Mo 0.5000 0.0000 0.5000  2 Se 2.26
Mo 0.5000 0.5000 0.0000  2 Se 2.26
Se 0.5000 0.5000 0.5000  6 Mo 2.26

***

A relaxed ReMoSe crystal. Source: the Alexandria database, functional PBE.

Values from the calculation:
E_form (uncorrected)   0.32 eV/atom
SG   P3m1, No. 156
Energy relative to the lowest polymorph listed for this composition   123 meV per atom

a b c (Å): 2.9413 2.9413 6.3559
angles (deg): 90.00 90.00 120.00
Closest atoms and distances in Å follow each position.
Fractional positions:
Re 0.0000 0.0000 0.0000  3 Mo 2.69, 3 Se 2.76, 6 Re 2.94
Mo 0.3333 0.6667 0.6722  3 Re 2.69, 3 Se 2.70, 6 Mo 2.94
Se 0.6667 0.3333 0.3414  3 Mo 2.70, 3 Re 2.76, 6 Se 2.94

***

A relaxed ReMoSe crystal. Source: the Alexandria database, functional PBE.

Values from the calculation:
E_form (uncorrected)   0.56 eV/atom
SG   Fmm2, No. 42
Energy relative to the lowest polymorph listed for this composition   363 meV per atom

a b c (Å): 3.1249 4.7097 13.7769
angles (deg): 90.00 90.00 90.00
Closest atoms and distances in Å follow each position.
Fractional positions:
Re 0.0000 0.0000 0.0000  2 Mo 2.53, 4 Re 2.83
Re 0.0000 0.5000 0.5000  2 Mo 2.53, 4 Re 2.83
Re 0.5000 0.0000 0.5000  2 Mo 2.53, 4 Re 2.83
Re 0.5000 0.5000 0.0000  2 Mo 2.53, 4 Re 2.83
Mo 0.0000 0.0000 0.6446  2 Re 2.53, 2 Se 2.80, 4 Mo 2.83
Mo 0.0000 0.5000 0.1446  2 Re 2.53, 2 Se 2.80, 4 Mo 2.83
Mo 0.5000 0.0000 0.1446  2 Re 2.53, 2 Se 2.80, 4 Mo 2.83
Mo 0.5000 0.5000 0.6446  2 Re 2.53, 2 Se 2.80, 4 Mo 2.83
Se 0.0000 0.0000 0.3129  2 Mo 2.80, 6 Se 2.83-3.12, 2 Re 3.01
Se 0.0000 0.5000 0.8129  2 Mo 2.80, 6 Se 2.83-3.12, 2 Re 3.01
Se 0.5000 0.0000 0.8129  2 Mo 2.80, 6 Se 2.83-3.12, 2 Re 3.01
Se 0.5000 0.5000 0.3129  2 Mo 2.80, 6 Se 2.83-3.12, 2 Re 3.01

***

A relaxed ReMo3Se crystal. Source: the Alexandria database, functional PBE.

Values from the calculation:
E_form (uncorrected)   1.72 eV/atom
SG   Pm-3m, No. 221
Energy relative to the lowest polymorph listed for this composition   269 meV per atom

a b c (Å): 4.7668 4.7668 4.7668
angles (deg): 90.00 90.00 90.00
Closest atoms and distances in Å follow each position.
Fractional positions:
Re 0.0000 0.0000 0.0000  6 Mo 2.38
Mo 0.0000 0.0000 0.5000  2 Re 2.38
Mo 0.0000 0.5000 0.0000  2 Re 2.38
Mo 0.5000 0.0000 0.0000  2 Re 2.38
Se 0.5000 0.5000 0.5000  12 Mo 3.37

***

A relaxed ReMo5Se12 crystal. Source: the Alexandria database, functional PBE.

Values from the calculation:
E_form (uncorrected)   -0.45 eV/atom
SG   C2/m, No. 12

a b c (Å): 6.0074 6.0074 13.6894
angles (deg): 90.18 90.18 123.39
Closest atoms and distances in Å follow each position.
Fractional positions:
Re 0.0000 0.0000 0.0000  6 Se 2.56-2.61
Mo 0.1303 0.8697 0.5000  6 Se 2.49-2.73, 1 Mo 2.76
Mo 0.3715 0.6285 0.0000  6 Se 2.49-2.71, 1 Mo 2.72
Mo 0.5000 0.5000 0.5000  6 Se 2.57-2.62
Mo 0.6285 0.3715 0.0000  6 Se 2.49-2.71, 1 Mo 2.72
Mo 0.8697 0.1303 0.5000  6 Se 2.49-2.73, 1 Mo 2.76
Se 0.0162 0.6637 0.8902  2 Mo 2.51-2.71, 1 Re 2.56
Se 0.1658 0.5149 0.6124  3 Mo 2.51-2.73
Se 0.1688 0.1688 0.3665  3 Mo 2.49-2.62
Se 0.3224 0.3224 0.8659  2 Mo 2.49, 1 Re 2.61
Se 0.3363 0.9838 0.1098  2 Mo 2.51-2.71, 1 Re 2.56
Se 0.4851 0.8342 0.3876  3 Mo 2.51-2.73
Se 0.5149 0.1658 0.6124  3 Mo 2.51-2.73
Se 0.6637 0.0162 0.8902  2 Mo 2.51-2.71, 1 Re 2.56
Se 0.6776 0.6776 0.1341  2 Mo 2.49, 1 Re 2.61
Se 0.8312 0.8312 0.6335  3 Mo 2.49-2.62
Se 0.8342 0.4851 0.3876  3 Mo 2.51-2.73
Se 0.9838 0.3363 0.1098  2 Mo 2.51-2.71, 1 Re 2.56

***

A relaxed TiReMo2Se crystal. Source: the Alexandria database, functional PBE.

Values from the calculation:
E_form (uncorrected)   1.46 eV/atom
SG   P4/mmm, No. 123

a b c (Å): 4.8016 4.8016 4.6549
angles (deg): 90.00 90.00 90.00
Closest atoms and distances in Å follow each position.
Fractional positions:
Ti 0.0000 0.0000 0.0000  8 Mo 3.34, 4 Se 3.40
Re 0.5000 0.5000 0.5000  2 Se 2.33, 4 Mo 2.40
Mo 0.0000 0.5000 0.5000  2 Re 2.40
Mo 0.5000 0.0000 0.5000  2 Re 2.40
Se 0.5000 0.5000 0.0000  2 Re 2.33

***

A relaxed TlReMoSe2 crystal. Source: the Alexandria database, functional PBE.

Values from the calculation:
E_form (uncorrected)   1.31 eV/atom
SG   P4/mmm, No. 123

a b c (Å): 4.8378 4.8378 5.6517
angles (deg): 90.00 90.00 90.00
Closest atoms and distances in Å follow each position.
Fractional positions:
Tl 0.0000 0.0000 0.0000  2 Mo 2.83
Re 0.5000 0.5000 0.0000  4 Tl 3.42, 8 Se 3.72
Mo 0.0000 0.0000 0.5000  4 Se 2.42
Se 0.0000 0.5000 0.5000  2 Mo 2.42
Se 0.5000 0.0000 0.5000  2 Mo 2.42

***

A relaxed ZnReMoSe2 crystal. Source: the Alexandria database, functional PBE.

Values from the calculation:
E_form (uncorrected)   1.35 eV/atom
SG   P4/mmm, No. 123

a b c (Å): 4.8486 4.8486 5.0772
angles (deg): 90.00 90.00 90.00
Closest atoms and distances in Å follow each position.
Fractional positions:
Zn 0.0000 0.0000 0.0000  2 Mo 2.54
Re 0.5000 0.5000 0.0000  4 Zn 3.43, 8 Se 3.51
Mo 0.0000 0.0000 0.5000  4 Se 2.42, 2 Zn 2.54
Se 0.0000 0.5000 0.5000  2 Mo 2.42
Se 0.5000 0.0000 0.5000  2 Mo 2.42